No. 1
4
Lattice="0.000 3.361 3.361 3.361 0.000 3.361 3.361 3.361 0.000" Properties=species:S:1:pos:R:3 comment="LuCoSbAu (GGA-PBE, optimized geometry)" e_tot_ev_per_cell=-19.91 crystal_system=cubic pbc="T T T"
Lu 0.000 0.000 0.000
Co 3.361 3.361 3.361
Sb 1.681 1.681 1.681
Au 5.042 5.042 5.042

---

No. 2
4
Lattice="0.000 3.201 3.201 3.201 0.000 3.201 3.201 3.201 0.000" Properties=species:S:1:pos:R:3 comment="LuCoSiAu (GGA-PBE, optimized geometry)" e_tot_ev_per_cell=-21.27 crystal_system=cubic pbc="T T T"
Lu 0.000 0.000 0.000
Co 4.801 4.801 4.801
Si 3.201 3.201 3.201
Au 1.600 1.600 1.600

---

No. 3
4
Lattice="0.000 3.232 3.232 3.232 0.000 3.232 3.232 3.232 0.000" Properties=species:S:1:pos:R:3 comment="LuCoSiAu (GGA-PBE, optimized geometry)" e_tot_ev_per_cell=-21.13 crystal_system=cubic pbc="T T T"
Lu 0.000 0.000 0.000
Co 3.232 3.232 3.232
Si 1.616 1.616 1.616
Au 4.847 4.847 4.847

---

No. 4
4
Lattice="0.000 3.351 3.351 3.351 0.000 3.351 3.351 3.351 0.000" Properties=species:S:1:pos:R:3 comment="LuCoSnAu (GGA-PBE, optimized geometry)" e_tot_ev_per_cell=-19.73 crystal_system=cubic pbc="T T T"
Lu 0.000 0.000 0.000
Co 3.351 3.351 3.351
Sn 1.675 1.675 1.675
Au 5.026 5.026 5.026

---

No. 5
4
Lattice="0.000 3.346 3.346 3.346 0.000 3.346 3.346 3.346 0.000" Properties=species:S:1:pos:R:3 comment="LuCoSnAu (GGA-PBE, optimized geometry)" e_tot_ev_per_cell=-20.22 crystal_system=cubic pbc="T T T"
Lu 0.000 0.000 0.000
Co 5.018 5.018 5.018
Sn 3.346 3.346 3.346
Au 1.673 1.673 1.673

---

No. 6
4
Lattice="0.000 3.376 3.376 3.376 0.000 3.376 3.376 3.376 0.000" Properties=species:S:1:pos:R:3 comment="LuTlCoAu (GGA-PBE, optimized geometry)" e_tot_ev_per_cell=-17.79 crystal_system=cubic pbc="T T T"
Lu 0.000 0.000 0.000
Tl 3.376 3.376 3.376
Co 5.064 5.064 5.064
Au 1.688 1.688 1.688

---

No. 7
4
Lattice="0.000 3.378 3.378 3.378 0.000 3.378 3.378 3.378 0.000" Properties=species:S:1:pos:R:3 comment="LuTlCoAu (GGA-PBE, optimized geometry)" e_tot_ev_per_cell=-17.48 crystal_system=cubic pbc="T T T"
Lu 0.000 0.000 0.000
Tl 1.689 1.689 1.689
Co 3.378 3.378 3.378
Au 5.066 5.066 5.066

---

No. 8
4
Lattice="0.000 3.269 3.269 3.269 0.000 3.269 3.269 3.269 0.000" Properties=species:S:1:pos:R:3 comment="MgCoSbAu (GGA-PBE, optimized geometry)" e_tot_ev_per_cell=-15.86 crystal_system=cubic pbc="T T T"
Mg 0.000 0.000 0.000
Co 4.903 4.903 4.903
Sb 3.269 3.269 3.269
Au 1.634 1.634 1.634

---

No. 9
12
Lattice="1.786 -6.746 0.000 1.786 6.746 0.000 0.000 0.000 10.025" Properties=species:S:1:pos:R:3 comment="MgCoAuSe3 (GGA-PBE, optimized geometry)" e_tot_ev_per_cell=-49.18 crystal_system=orthorhombic pbc="T T T"
Mg 1.786 4.176 7.519
Mg 1.786 -4.176 2.506
Co 1.786 0.000 0.000
Co 1.786 0.000 5.013
Au 1.786 4.676 2.506
Au 1.786 -4.676 7.519
Se 1.786 5.141 0.082
Se 1.786 5.141 4.930
Se 1.786 0.584 2.506
Se 1.786 -0.584 7.519
Se 1.786 -5.141 5.095
Se 1.786 -5.141 9.943

---

No. 10
4
Lattice="0.000 3.060 3.060 3.060 0.000 3.060 3.060 3.060 0.000" Properties=species:S:1:pos:R:3 comment="MgCoSiAu (GGA-PBE, optimized geometry)" e_tot_ev_per_cell=-17.64 crystal_system=cubic pbc="T T T"
Mg 0.000 0.000 0.000
Co 4.589 4.589 4.589
Si 3.060 3.060 3.060
Au 1.530 1.530 1.530

---

No. 11
4
Lattice="0.000 3.330 3.330 3.330 0.000 3.330 3.330 3.330 0.000" Properties=species:S:1:pos:R:3 comment="MgCoTeAu (GGA-PBE, optimized geometry)" e_tot_ev_per_cell=-14.67 crystal_system=cubic pbc="T T T"
Mg 0.000 0.000 0.000
Co 3.330 3.330 3.330
Te 4.995 4.995 4.995
Au 1.665 1.665 1.665

---

No. 12
12
Lattice="1.874 -7.121 0.000 1.874 7.121 0.000 0.000 0.000 10.790" Properties=species:S:1:pos:R:3 comment="MgCoTe3Au (GGA-PBE, optimized geometry)" e_tot_ev_per_cell=-45.38 crystal_system=orthorhombic pbc="T T T"
Mg 1.874 4.268 8.093
Mg 1.874 -4.268 2.698
Co 1.874 0.000 0.000
Co 1.874 0.000 5.395
Te 1.874 5.380 0.077
Te 1.874 5.380 5.318
Te 1.874 0.515 2.698
Te 1.874 -0.515 8.093
Te 1.874 -5.380 5.472
Te 1.874 -5.380 10.713
Au 1.874 4.867 2.698
Au 1.874 -4.867 8.093

---

No. 13
4
Lattice="0.000 3.085 3.085 3.085 0.000 3.085 3.085 3.085 0.000" Properties=species:S:1:pos:R:3 comment="MgZnCoAu (GGA-PBE, optimized geometry)" e_tot_ev_per_cell=-13.69 crystal_system=cubic pbc="T T T"
Mg 0.000 0.000 0.000
Zn 3.085 3.085 3.085
Co 4.628 4.628 4.628
Au 1.543 1.543 1.543

---

No. 14
4
Lattice="0.000 3.266 3.266 3.266 0.000 3.266 3.266 3.266 0.000" Properties=species:S:1:pos:R:3 comment="CoMoPbAu (GGA-PBE, optimized geometry)" e_tot_ev_per_cell=-21.98 crystal_system=cubic pbc="T T T"
Co 0.000 0.000 0.000
Mo 1.633 1.633 1.633
Pb 4.899 4.899 4.899
Au 3.266 3.266 3.266